<a>
The following is a PBE calculation of AgSb2Pt2 after structural relaxation, from the Alexandria database.

abc: 7.8824 7.8824 7.8824
angles: 151.44 151.44 40.83
Sites, in units of the cell vectors:
Ag (0.0000, 0.0000, 0.0000)
Sb (0.3811, 0.3811, 0.0000)
Sb (0.6189, 0.6189, 0.0000)
Pt (0.2500, 0.7500, 0.5000)
Pt (0.7500, 0.2500, 0.5000)


<b>
The following is a PBE calculation of AgSb2Pt2 after structural relaxation, from the Alexandria database.

abc: 6.1369 6.1369 6.1369
angles: 134.27 134.27 66.67
Sites, in units of the cell vectors:
Ag (0.0000, 0.0000, 0.0000)
Sb (0.2500, 0.7500, 0.5000)
Sb (0.7500, 0.2500, 0.5000)
Pt (0.3712, 0.3712, 0.0000)
Pt (0.6288, 0.6288, 0.0000)


Last place for stability: <b>


<a>
The following is a PBE calculation of AgSb2Pt2 after structural relaxation, from the Alexandria database.

abc: 7.7612 7.7612 3.4316
angles: 90.00 90.00 90.00
Sites, in units of the cell vectors:
Ag (0.0000, 0.0000, 0.0000)
Ag (0.5000, 0.5000, 0.0000)
Sb (0.1652, 0.3348, 0.0000)
Sb (0.3348, 0.8348, 0.0000)
Sb (0.6652, 0.1652, 0.0000)
Sb (0.8348, 0.6652, 0.0000)
Pt (0.1339, 0.6339, 0.5000)
Pt (0.3661, 0.1339, 0.5000)
Pt (0.6339, 0.8661, 0.5000)
Pt (0.8661, 0.3661, 0.5000)


<b>
The following is a PBE calculation of AgSb2Pt2 after structural relaxation, from the Alexandria database.

abc: 6.1184 6.1184 6.1184
angles: 134.11 134.11 66.91
Sites, in units of the cell vectors:
Ag (0.0000, 0.0000, 0.0000)
Sb (0.3617, 0.3617, 0.0000)
Sb (0.6383, 0.6383, 0.0000)
Pt (0.2500, 0.7500, 0.5000)
Pt (0.7500, 0.2500, 0.5000)


Last place for stability: <b>


<a>
The following is a PBE calculation of AgSb2Pt after structural relaxation, from the Alexandria database.

abc: 4.9955 4.8260 4.8260
angles: 58.39 90.00 90.00
Sites, in units of the cell vectors:
Ag (0.0000, 0.0000, 0.0000)
Sb (0.0000, 0.3218, 0.3218)
Sb (0.5000, 0.8345, 0.8345)
Pt (0.5000, 0.1718, 0.1718)


<b>
The following is a PBE calculation of AgSb2Pt after structural relaxation, from the Alexandria database.

abc: 3.9247 3.9247 7.3033
angles: 105.65 105.65 60.61
Sites, in units of the cell vectors:
Ag (0.0000, 0.0000, 0.0000)
Sb (0.2370, 0.2370, 0.7150)
Sb (0.7630, 0.7630, 0.2850)
Pt (0.5000, 0.5000, 0.5000)


<c>
The following is a PBE calculation of AgSb2Pt after structural relaxation, from the Alexandria database.

abc: 3.5689 3.7302 6.4045
angles: 90.00 90.63 90.00
Sites, in units of the cell vectors:
Ag (0.0000, 0.0000, 0.0000)
Sb (0.4800, 0.5000, 0.7322)
Sb (0.5200, 0.5000, 0.2678)
Pt (0.0000, 0.0000, 0.5000)


Last place for stability: <c>


<a>
The following is a PBE calculation of AgSb2Pt after structural relaxation, from the Alexandria database.

abc: 7.2370 7.2370 7.2370
angles: 153.64 146.80 42.88
Sites, in units of the cell vectors:
Ag (0.0000, 0.0000, 0.0000)
Sb (0.3898, 0.3898, 0.0000)
Sb (0.6592, 0.1592, 0.5000)
Pt (0.2255, 0.7255, 0.5000)


<b>
The following is a PBE calculation of AgSb2Pt after structural relaxation, from the Alexandria database.

abc: 3.3536 3.3536 8.0068
angles: 90.00 90.00 90.00
Sites, in units of the cell vectors:
Ag (0.0000, 0.0000, 0.0000)
Sb (0.0000, 0.0000, 0.3961)
Sb (0.5000, 0.5000, 0.7749)
Pt (0.5000, 0.5000, 0.2199)


<c>
The following is a PBE calculation of AgSb2Pt after structural relaxation, from the Alexandria database.

abc: 5.5527 5.5527 5.5527
angles: 135.04 135.04 65.47
Sites, in units of the cell vectors:
Ag (0.0000, 0.0000, 0.0000)
Sb (0.5000, 0.5000, 0.0000)
Sb (0.7500, 0.2500, 0.5000)
Pt (0.2500, 0.7500, 0.5000)


<d>
The following is a PBE calculation of AgSb2Pt after structural relaxation, from the Alexandria database.

abc: 4.6196 4.6196 6.7898
angles: 112.67 112.67 46.55
Sites, in units of the cell vectors:
Ag (0.0000, 0.0000, 0.0000)
Sb (0.4661, 0.4661, 0.6143)
Sb (0.7755, 0.7755, 0.1807)
Pt (0.2228, 0.2228, 0.7916)


Last place for stability: <c>


<a>
The following is a PBE calculation of AgSb2Pt after structural relaxation, from the Alexandria database.

abc: 4.9301 4.9301 4.9301
angles: 60.00 60.00 60.00
Sites, in units of the cell vectors:
Ag (0.0000, 0.0000, 0.0000)
Sb (0.2500, 0.2500, 0.2500)
Sb (0.7500, 0.7500, 0.7500)
Pt (0.5000, 0.5000, 0.5000)


<b>
The following is a PBE calculation of AgSb2Pt after structural relaxation, from the Alexandria database.

abc: 7.0624 7.0624 7.0624
angles: 33.07 33.07 33.07
Sites, in units of the cell vectors:
Ag (0.0000, 0.0000, 0.0000)
Sb (0.2574, 0.2574, 0.2574)
Sb (0.4727, 0.4727, 0.4727)
Pt (0.7424, 0.7424, 0.7424)


<c>
The following is a PBE calculation of AgSb2Pt after structural relaxation, from the Alexandria database.

abc: 6.6708 6.6708 6.6708
angles: 150.32 140.27 50.37
Sites, in units of the cell vectors:
Ag (0.0000, 0.0000, 0.0000)
Sb (0.3247, 0.8247, 0.5000)
Sb (0.6753, 0.1753, 0.5000)
Pt (0.5000, 0.5000, 0.0000)


<d>
The following is a PBE calculation of AgSb2Pt after structural relaxation, from the Alexandria database.

abc: 3.1437 3.5035 7.7778
angles: 90.00 90.00 90.00
Sites, in units of the cell vectors:
Ag (0.0000, 0.0000, 0.0000)
Sb (0.5000, 0.5000, 0.2737)
Sb (0.5000, 0.5000, 0.7263)
Pt (0.0000, 0.0000, 0.5000)


Last place for stability: <a>


<a>
The following is a PBE calculation of AgSb2Pt after structural relaxation, from the Alexandria database.

abc: 4.7947 4.7947 3.7198
angles: 90.13 90.13 99.23
Sites, in units of the cell vectors:
Ag (0.0000, 0.0000, 0.0000)
Sb (0.0000, 0.5000, 0.5000)
Sb (0.5000, 0.0000, 0.5000)
Pt (0.5000, 0.5000, 0.0000)


<b>
The following is a PBE calculation of AgSb2Pt after structural relaxation, from the Alexandria database.

abc: 4.9591 4.9591 4.9591
angles: 60.00 60.00 60.00
Sites, in units of the cell vectors:
Ag (0.0000, 0.0000, 0.0000)
Sb (0.5000, 0.5000, 0.5000)
Sb (0.7500, 0.7500, 0.7500)
Pt (0.2500, 0.2500, 0.2500)


Last place for stability: <b>